Entry 1:
Crystalline PaTiC2 at its relaxed geometry. Source: the Alexandria database, functional PBE.

abc: 3.3382 3.3382 5.8943
angles: 73.55 73.55 60.00
Fractional coordinates of all 4 atoms:
Pa 0.6708 0.6708 0.9877
C 0.0946 0.0946 0.7163
C 0.2381 0.2381 0.2856
Ti 0.4965 0.4965 0.5104

## Properties
calculated formation energy: -206.6 meV/atom
size of the total moment: 0.00 μB per atom
excess energy over the best structure of this formula in the dataset: 0.371 eV per atom
DFT total energy: -9.166 eV per atom

Entry 2:
Crystalline PaTiC2 at its relaxed geometry. Source: the Alexandria database, functional PBE.

abc: 3.3710 5.7296 11.1324
angles: 90.00 90.00 90.00
Fractional coordinates of all 16 atoms:
C 0.7500 0.2348 0.4907
C 0.7500 0.1604 0.7533
C 0.7500 0.6604 0.7467
C 0.7500 0.7348 0.0093
C 0.2500 0.8396 0.2467
C 0.2500 0.2652 0.9907
C 0.2500 0.3396 0.2533
C 0.2500 0.7652 0.5093
Ti 0.2500 0.0854 0.3973
Ti 0.2500 0.5854 0.1027
Ti 0.7500 0.4146 0.8973
Ti 0.7500 0.9146 0.6027
Pa 0.2500 0.4162 0.6417
Pa 0.7500 0.0838 0.1417
Pa 0.2500 0.9162 0.8583
Pa 0.7500 0.5838 0.3583

## Properties
calculated formation energy: -577.4 meV/atom
size of the total moment: 0.00 μB per atom
excess energy over the best structure of this formula in the dataset: 0.000 eV per atom
DFT total energy: -9.537 eV per atom

Entry 3:
Crystalline PaTiC at its relaxed geometry. Source: the Alexandria database, functional PBE.

abc: 3.7024 3.7024 4.4351
angles: 114.67 114.67 90.00
Fractional coordinates of all 3 atoms:
Ti 0.9229 0.9229 0.8458
Pa 0.2921 0.2921 0.5842
C 0.6350 0.6350 0.2700

## Properties
calculated formation energy: 850.9 meV/atom
size of the total moment: 0.00 μB per atom
excess energy over the best structure of this formula in the dataset: 1.195 eV per atom
DFT total energy: -8.021 eV per atom

Entry 4:
Crystalline PaTiWC3 at its relaxed geometry. Source: the Alexandria database, functional PBE.

abc: 3.2783 5.6028 8.2740
angles: 102.56 90.00 90.00
Fractional coordinates of all 12 atoms:
C 0.2500 0.4378 0.8397
C 0.2500 0.9616 0.8450
C 0.7500 0.2494 0.5128
C 0.2500 0.7506 0.4872
C 0.7500 0.0384 0.1550
C 0.7500 0.5622 0.1603
Ti 0.7500 0.2255 0.9504
Ti 0.2500 0.7745 0.0496
Pa 0.2500 0.3536 0.2991
Pa 0.7500 0.6464 0.7009
W 0.2500 0.1281 0.6381
W 0.7500 0.8719 0.3619

## Properties
calculated formation energy: -434.9 meV/atom
size of the total moment: 0.00 μB per atom
DFT total energy: -10.104 eV per atom

Entry 5:
Crystalline Zr2PaTiC4 at its relaxed geometry. Source: the Alexandria database, functional PBE.

abc: 3.3645 5.8349 5.8086
angles: 70.97 90.00 90.00
Fractional coordinates of all 8 atoms:
Ti 0.0000 0.5000 0.5000
C 0.5000 0.2579 0.7392
C 0.0000 0.2490 0.2620
C 0.0000 0.7510 0.7380
C 0.5000 0.7421 0.2608
Zr 0.0000 0.0000 0.0000
Zr 0.5000 0.0000 0.5000
Pa 0.5000 0.5000 0.0000

## Properties
calculated formation energy: -606.5 meV/atom
size of the total moment: 0.00 μB per atom
DFT total energy: -9.529 eV per atom

Entry 6:
Crystalline PaTlC at its relaxed geometry. Source: the Alexandria database, functional PBE.

abc: 3.2978 3.2978 6.6068
angles: 104.45 104.45 90.00
Fractional coordinates of all 3 atoms:
Pa 0.7299 0.7299 0.4598
C 0.2675 0.2675 0.5350
Tl 0.0026 0.0026 0.0052

## Properties
calculated formation energy: 187.7 meV/atom
size of the total moment: 0.00 μB per atom
DFT total energy: -6.841 eV per atom

Entry 7:
Crystalline Pa2Tl2C at its relaxed geometry. Source: the Alexandria database, functional PBE.

abc: 3.4035 3.4025 11.8915
angles: 98.13 81.77 59.99
Fractional coordinates of all 5 atoms:
Pa 0.2041 0.9620 0.6297
Pa 0.7959 0.0380 0.3703
Tl 0.2891 0.5408 0.8809
Tl 0.7109 0.4592 0.1191
C 0.0000 0.5000 0.5000

## Properties
calculated formation energy: -168.6 meV/atom
size of the total moment: 0.00 μB per atom
DFT total energy: -6.758 eV per atom

Entry 8:
Crystalline Pa2TlC at its relaxed geometry. Source: the Alexandria database, functional PBE.

abc: 3.3804 3.3804 8.9361
angles: 79.10 79.10 60.00
Fractional coordinates of all 4 atoms:
C 0.6656 0.6656 0.0032
Pa 0.2769 0.2769 0.1694
Pa 0.0570 0.0570 0.8290
Tl 0.5005 0.5005 0.4984

## Properties
calculated formation energy: -238.4 meV/atom
size of the total moment: 0.00 μB per atom
excess energy over the best structure of this formula in the dataset: 0.000 eV per atom
DFT total energy: -7.884 eV per atom

Entry 9:
Crystalline Pa2TlC at its relaxed geometry. Source: the Alexandria database, functional PBE.

abc: 3.1388 3.1388 8.0441
angles: 90.00 90.00 90.00
Fractional coordinates of all 4 atoms:
Pa 0.0000 0.0000 0.8239
Pa 0.0000 0.0000 0.1761
Tl 0.5000 0.5000 0.5000
C 0.5000 0.5000 0.0000

## Properties
calculated formation energy: 106.4 meV/atom
size of the total moment: 0.18 μB per atom
excess energy over the best structure of this formula in the dataset: 0.345 eV per atom
DFT total energy: -7.539 eV per atom

Entry 10:
Crystalline Pa2TlC at its relaxed geometry. Source: the Alexandria database, functional PBE.

abc: 3.3782 3.3782 8.9509
angles: 79.12 79.12 60.00
Fractional coordinates of all 4 atoms:
Pa 0.7235 0.7235 0.8295
Pa 0.2765 0.2765 0.1705
C 0.0000 0.0000 0.0000
Tl 0.5000 0.5000 0.5000

## Properties
calculated formation energy: -233.7 meV/atom
size of the total moment: 0.00 μB per atom
excess energy over the best structure of this formula in the dataset: 0.005 eV per atom
DFT total energy: -7.879 eV per atom

Entry 11:
Crystalline Tm5PaC4 at its relaxed geometry. Source: the Alexandria database, functional PBE.

abc: 3.5643 7.1711 7.9632
angles: 102.61 102.93 90.00
Fractional coordinates of all 10 atoms:
Tm 0.1679 0.8510 0.3357
Tm 0.8379 0.6867 0.6758
Tm 0.1621 0.3133 0.3242
Tm 0.8321 0.1490 0.6643
Tm 0.5000 0.5000 0.0000
C 0.3356 0.9159 0.6711
C 0.6644 0.0841 0.3289
C 0.0020 0.2452 0.0040
C 0.9980 0.7548 0.9960
Pa 0.5000 0.0000 0.0000

## Properties
calculated formation energy: -372.0 meV/atom
size of the total moment: 0.00 μB per atom
DFT total energy: -7.247 eV per atom

Entry 12:
Crystalline TmPaC2 at its relaxed geometry. Source: the Alexandria database, functional PBE.

abc: 3.5685 3.5685 6.2389
angles: 73.38 73.38 60.00
Fractional coordinates of all 4 atoms:
C 0.0771 0.0771 0.7687
C 0.2580 0.2580 0.2261
Pa 0.6672 0.6672 0.9984
Tm 0.4977 0.4977 0.5068

## Properties
calculated formation energy: -241.3 meV/atom
size of the total moment: 0.00 μB per atom
excess energy over the best structure of this formula in the dataset: 0.199 eV per atom
DFT total energy: -8.345 eV per atom

Q: Look up the size of the total moment of the tenth one.
A: 0.00 μB per atom

Q: Look up the DFT total energy of the first one.
A: -9.166 eV per atom